Na3VPt | GGA-PBE | optimized geometry

Computed properties:
Its space-group type is No. 221. For the formation energy, the calculation gives 0.83 eV/atom. Its crystal system is cubic. As for the energy above the lowest structure with this stoichiometry: 0 meV/atom. The density of states at the Fermi level comes out at 13.089 states/eV per cell. The calculation puts the total energy at -14.96 eV for the cell shown. The calculation puts the magnetic moment at 0.89 μB/atom.

abc: 5.408 5.408 5.408
angles: 90.00 90.00 90.00
Fractional positions:
Na (0.000, 0.000, 0.500)
Na (0.000, 0.500, 0.000)
Na (0.500, 0.000, 0.000)
V (0.500, 0.500, 0.500)
Pt (0.000, 0.000, 0.000)

Na3VPt | GGA-PBE | optimized geometry

Computed properties:
Its space-group type is No. 221. For the formation energy, the calculation gives 1.34 eV/atom. Its crystal system is cubic. As for the energy above the lowest structure with this stoichiometry: 509 meV/atom. The density of states at the Fermi level comes out at 9.445 states/eV per cell. The calculation puts the total energy at -12.41 eV for the cell shown. The calculation puts the magnetic moment at 0.93 μB/atom.

abc: 5.372 5.372 5.372
angles: 90.00 90.00 90.00
Fractional positions:
Na (0.000, 0.000, 0.500)
Na (0.000, 0.500, 0.000)
Na (0.500, 0.000, 0.000)
V (0.000, 0.000, 0.000)
Pt (0.500, 0.500, 0.500)